VASP calculation (PBE) on a relaxed ZrP3Au crystal.

a b c (Å): 4.741 4.741 4.741
angles (deg): 90.00 90.00 90.00
Positions (direct):
Zr 0.000 0.000 0.000
P 0.000 0.500 0.500
P 0.500 0.000 0.500
P 0.500 0.500 0.000
Au 0.500 0.500 0.500

Final energy ... -24.274 eV/cell
Energy above the lowest structure with this stoichiometry ... 105 meV per atom
DFT formation energy ... 0.7563 eV/atom